A relaxed structure of Cs5NaAs2, computed with PBE.

Results
The total moment is 0.000 μB per atom. As for the calculated volume: 786 Å³/cell. The crystal system is hexagonal. As for the density of states at the Fermi level: 5.21 states/eV/f.u.

Cell lengths 6.4693, 6.4693, 21.6902 Å; angles 90.00, 90.00, 120.00 degrees
Closest atoms and distances in Å follow each position.
Space group P6_3/mmc (No. 194)
Unique sites:
1 Cs 0.0000 0.0000 0.1301  3 As 3.74, 3 Cs 4.12
2 Cs 0.3333 0.6667 0.0502  4 As 3.70-4.03, 3 Cs 4.12
3 Cs 0.3333 0.6667 0.2500  3 Na 3.74
4 Na 0.3333 0.6667 0.7500  2 As 2.81
5 As 0.3333 0.6667 0.6205  1 Na 2.81

=====

A relaxed structure of Cs2NaAs7, computed with PBE.

Results
The total moment is 0.000 μB per atom. As for the calculated volume: 1412 Å³/cell. The crystal system is monoclinic.

Cell lengths 12.1489, 11.2037, 10.3735 Å; angles 90.00, 90.18, 90.00 degrees
Closest atoms and distances in Å follow each position.
Space group P2_1/c (No. 14)
Unique sites:
1 Cs 0.0139 0.1979 0.0392  9 As 3.71-4.10
2 Cs 0.2682 0.5006 0.1451  9 As 3.87-4.20, 1 Na 4.27
3 Na 0.4630 0.6944 0.5528  5 As 3.03-3.29
4 As 0.0995 0.9995 0.3247  2 As 2.38-2.45
5 As 0.2122 0.6522 0.7172  3 As 2.45-2.46
6 As 0.2224 0.1648 0.3126  3 As 2.38-2.58
7 As 0.2553 0.5483 0.5142  2 As 2.38-2.46
8 As 0.3269 0.1335 0.0993  3 As 2.38-2.58
9 As 0.3893 0.6353 0.8292  2 As 2.39-2.45
10 As 0.4155 0.0755 0.3107  3 As 2.39-2.55

=====

A relaxed structure of CsNaAs, computed with PBE.

Results
The total moment is 0.000 μB per atom. As for the calculated volume: 278 Å³/cell. The crystal system is triclinic. As for the density of states at the Fermi level: 1.27 states/eV/f.u. For the energy above the most stable polymorph in this dataset, the calculation gives 0 meV per atom.

Cell lengths 4.8300, 5.3452, 12.0950 Å; angles 94.22, 90.14, 116.86 degrees
Closest atoms and distances in Å follow each position.
Space group P-1 (No. 2)
Unique sites:
1 Cs 0.1760 0.3559 0.2187  3 As 3.62-3.88, 3 Na 3.95-4.03
2 Na 0.1514 0.3019 0.5496  5 As 3.02-3.16, 3 Na 3.03-3.35
3 As 0.4677 0.9340 0.5992  1 As 2.53

=====

Number 1: calculated formation energy -0.284 eV per atom. Number 2: calculated formation energy -0.373 eV per atom. Number 3: calculated formation energy -0.358 eV per atom.